Crystalline Sr2YTe at its relaxed geometry. Source: Alexandria, functional PBE. Values from VASP.

Its density of states at the Fermi level is 4.19 states/eV/cell. The calculation puts the total energy at -15.26 eV/cell. Its symmetry is No. 123.

Cell and atoms, written as Quantum ESPRESSO input:
```
&SYSTEM
  ibrav = 0, nat = 4, ntyp = 3
/
ATOMIC_SPECIES
Sr 87.62 Sr.upf
Y 88.91 Y.upf
Te 127.60 Te.upf
CELL_PARAMETERS angstrom
4.018 0.000 0.000
0.000 4.018 0.000
0.000 0.000 9.647
ATOMIC_POSITIONS angstrom
Sr 0.000 0.000 1.953
Sr 0.000 0.000 7.693
Y 2.009 2.009 4.823
Te 2.009 2.009 0.000
```


Crystalline LiPaH2 at its relaxed geometry. Source: Alexandria, functional PBE. Values from VASP.

Its density of states at the Fermi level is 2.57 states/eV/cell. The calculation puts the total energy at -18.22 eV/cell. Its symmetry is No. 166.

Cell and atoms, written as Quantum ESPRESSO input:
```
&SYSTEM
  ibrav = 0, nat = 4, ntyp = 3
/
ATOMIC_SPECIES
Li 6.94 Li.upf
Pa 231.04 Pa.upf
H 1.01 H.upf
CELL_PARAMETERS angstrom
1.532 0.884 6.295
-1.532 0.884 6.295
0.000 -1.769 6.295
ATOMIC_POSITIONS angstrom
Li 0.000 0.000 0.000
Pa 0.000 0.000 9.442
H 0.000 0.000 7.284
H 0.000 0.000 11.600
```


Crystalline KCrOs2 at its relaxed geometry. Source: Alexandria, functional PBE. Values from VASP.

Its density of states at the Fermi level is 2.78 states/eV/cell. As for the offset from the most stable computed form: 0.211 eV per atom. Its energy of formation from the pure elements is 0.90 eV/atom. Its symmetry is No. 8.

Cell and atoms, written as Quantum ESPRESSO input:
```
&SYSTEM
  ibrav = 0, nat = 4, ntyp = 3
/
ATOMIC_SPECIES
K 39.10 K.upf
Cr 52.00 Cr.upf
Os 190.23 Os.upf
CELL_PARAMETERS angstrom
4.479 -1.401 0.000
4.479 1.401 0.000
-0.779 0.000 6.995
ATOMIC_POSITIONS angstrom
K 0.000 0.000 0.000
Cr 6.700 0.000 2.505
Os 1.575 0.000 4.441
Os 4.023 0.000 3.704
```


Crystalline LiSn3Te4 at its relaxed geometry. Source: Alexandria, functional PBE. Values from VASP.

Its density of states at the Fermi level is 3.63 states/eV/cell. The calculation puts the total energy at -29.61 eV/cell. Its symmetry is No. 139.

Cell and atoms, written as Quantum ESPRESSO input:
```
&SYSTEM
  ibrav = 0, nat = 8, ntyp = 3
/
ATOMIC_SPECIES
Li 6.94 Li.upf
Sn 118.71 Sn.upf
Te 127.60 Te.upf
CELL_PARAMETERS angstrom
-3.126 3.126 6.249
3.126 -3.126 6.249
3.126 3.126 -6.249
ATOMIC_POSITIONS angstrom
Li 0.000 0.000 0.000
Sn 3.126 0.000 3.124
Sn 0.000 0.000 6.249
Sn 0.000 3.126 3.124
Te 3.126 0.000 0.000
Te 0.000 0.000 3.097
Te 0.000 3.126 0.000
Te 0.000 0.000 9.400
```


Crystalline Pr7Zn2Rh2 at its relaxed geometry. Source: Alexandria, functional PBE. Values from VASP.

Its density of states at the Fermi level is 12.09 states/eV/cell. Its energy of formation from the pure elements is -0.25 eV/atom. Its symmetry is No. 65.

Cell and atoms, written as Quantum ESPRESSO input:
```
&SYSTEM
  ibrav = 0, nat = 11, ntyp = 3
/
ATOMIC_SPECIES
Pr 140.91 Pr.upf
Zn 65.41 Zn.upf
Rh 102.91 Rh.upf
CELL_PARAMETERS angstrom
3.979 -5.675 0.000
3.979 5.675 0.000
0.000 0.000 7.298
ATOMIC_POSITIONS angstrom
Pr 0.000 0.000 0.000
Pr 1.990 2.837 1.925
Pr 1.990 2.837 5.374
Pr 1.990 -2.837 1.925
Pr 1.990 -2.837 5.374
Pr 3.979 0.000 1.874
Pr 3.979 0.000 5.424
Zn 1.287 0.000 3.649
Zn 6.671 0.000 3.649
Rh 3.979 2.311 0.000
Rh 3.979 -2.311 0.000
```


Crystalline Tb2Pm6Mg at its relaxed geometry. Source: Alexandria, functional PBE. Values from VASP.

Its density of states at the Fermi level is 23.61 states/eV/cell. As for the offset from the most stable computed form: 0.045 eV per atom. Its energy of formation from the pure elements is 0.06 eV/atom. Its symmetry is No. 72.

Cell and atoms, written as Quantum ESPRESSO input:
```
&SYSTEM
  ibrav = 0, nat = 18, ntyp = 3
/
ATOMIC_SPECIES
Tb 158.93 Tb.upf
Pm 145.00 Pm.upf
Mg 24.30 Mg.upf
CELL_PARAMETERS angstrom
-3.057 4.744 10.121
3.057 -4.744 10.121
3.057 4.744 -10.121
ATOMIC_POSITIONS angstrom
Tb 0.304 1.612 0.000
Tb 3.360 3.132 0.000
Tb -0.304 1.612 10.121
Tb 2.753 3.132 10.121
Pm 2.461 -3.085 6.654
Pm 3.057 0.000 1.643
Pm 2.461 3.085 -3.467
Pm -0.596 1.659 3.467
Pm 3.057 0.000 8.478
Pm 2.461 3.085 3.467
Pm 0.596 1.659 6.654
Pm 0.000 4.744 1.643
Pm 3.653 3.085 6.654
Pm 0.596 1.659 13.589
Pm 0.000 4.744 8.478
Pm 0.596 7.829 3.467
Mg 3.057 0.000 5.061
Mg 0.000 4.744 5.061
```


Crystalline K2CaPd2 at its relaxed geometry. Source: Alexandria, functional PBE. Values from VASP.

Its density of states at the Fermi level is 2.14 states/eV/cell. Its energy of formation from the pure elements is -0.05 eV/atom. Its symmetry is No. 127.

Cell and atoms, written as Quantum ESPRESSO input:
```
&SYSTEM
  ibrav = 0, nat = 10, ntyp = 3
/
ATOMIC_SPECIES
K 39.10 K.upf
Ca 40.08 Ca.upf
Pd 106.42 Pd.upf
CELL_PARAMETERS angstrom
7.454 0.000 0.000
0.000 7.454 0.000
0.000 0.000 5.496
ATOMIC_POSITIONS angstrom
K 1.222 2.505 0.000
K 2.505 6.232 0.000
K 4.949 1.222 0.000
K 6.232 4.949 0.000
Ca 0.000 0.000 2.748
Ca 3.727 3.727 2.748
Pd 0.943 4.670 2.748
Pd 2.784 0.943 2.748
Pd 4.670 6.511 2.748
Pd 6.511 2.784 2.748
```


Crystalline Ho3TmPd2 at its relaxed geometry. Source: Alexandria, functional PBE. Values from VASP.

Its density of states at the Fermi level is 11.88 states/eV/cell. As for the offset from the most stable computed form: 0.096 eV per atom. Its energy of formation from the pure elements is -0.52 eV/atom. Its symmetry is No. 72.

Cell and atoms, written as Quantum ESPRESSO input:
```
&SYSTEM
  ibrav = 0, nat = 12, ntyp = 3
/
ATOMIC_SPECIES
Ho 164.93 Ho.upf
Tm 168.93 Tm.upf
Pd 106.42 Pd.upf
CELL_PARAMETERS angstrom
-3.429 6.785 3.548
3.429 -6.785 3.548
3.429 6.785 -3.548
ATOMIC_POSITIONS angstrom
Ho 3.429 -3.149 1.774
Ho 0.000 0.000 1.774
Ho 3.429 3.149 1.774
Ho 0.000 3.637 1.774
Ho 0.000 0.000 5.323
Ho 0.000 9.934 1.774
Tm 3.429 0.000 0.000
Tm 0.000 6.785 0.000
Pd 1.432 1.897 0.000
Pd 1.432 -1.897 3.548
Pd 1.997 8.683 0.000
Pd 1.997 4.888 3.548
```